VASP calculation (GGA+U) on a geometry-optimized VBAuO2 structure.

Calculated values
size of the total moment = 1.1 μB/f.u.
crystal system = tetragonal
total energy = -21.942 eV for the cell shown

Cell: 4.2812 3.9902 4.2812 Å, 90.00 90.00 90.00°
Fractional coordinates of all 5 atoms:
B 0.0000 0.5000 0.0000
Au 0.0000 0.0000 0.0000
O 0.0000 0.0000 0.5000
O 0.5000 0.0000 0.0000
V 0.5000 0.5000 0.5000